Material: Ca2HoCd3
Method: DFT, PBE
State: optimized geometry

The space group is P-3m1 (No. 164) and the conventional cell measures 5.3570, 5.3570 and 6.5756 Å, with angles of 90.00, 90.00 and 120.00 degrees. The asymmetric unit holds Ca at (0.3333, 0.6667, 0.1664), Ho at (0.0000, 0.0000, 0.5000), Cd at (0.0000, 0.0000, 0.0000) and Cd at (0.3333, 0.6667, 0.6578).

The total energy comes out at -13.41 eV per cell. The crystal system is trigonal. The energy relative to the elements is -0.35 eV/atom. The excess energy over the best structure of this formula in the dataset comes out at 0.000 eV per formula unit.